Computed, not measured: a relaxed V2OF5 crystal at the PBE with a Hubbard U level of DFT.

Cell: 5.315 5.440 11.761 Å, 100.66 102.88 90.02°
Space group P1 (No. 1)
One atom of each set of equivalent atoms:
V  0.000  0.000  0.000 (multiplicity 1)
V  0.138  0.161  0.326 (multiplicity 1)
V  0.309  0.322  0.646 (multiplicity 1)
V  0.482  0.483  0.965 (multiplicity 1)
V  0.638  0.652  0.308 (multiplicity 1)
V  0.812  0.824  0.651 (multiplicity 1)
O  0.128  0.072  0.146 (multiplicity 1)
O  0.153  0.234  0.474 (multiplicity 1)
O  0.467  0.412  0.818 (multiplicity 1)
F  0.014  0.530  0.674 (multiplicity 1)
F  0.134  0.035  0.677 (multiplicity 1)
F  0.163  0.279  0.954 (multiplicity 1)
F  0.271  0.783  0.955 (multiplicity 1)
F  0.346  0.861  0.336 (multiplicity 1)
F  0.457  0.358  0.336 (multiplicity 1)
F  0.478  0.567  0.137 (multiplicity 1)
F  0.487  0.612  0.619 (multiplicity 1)
F  0.605  0.113  0.621 (multiplicity 1)
F  0.691  0.200  0.007 (multiplicity 1)
F  0.798  0.700  0.008 (multiplicity 1)
F  0.809  0.741  0.480 (multiplicity 1)
F  0.821  0.946  0.282 (multiplicity 1)
F  0.825  0.910  0.822 (multiplicity 1)
F  0.929  0.442  0.281 (multiplicity 1)

Raw total energy, eV/f.u.: -50.6